(1)
VASP calculation (PBE) on LiCaIr2 after structural relaxation.

```
data_LiCaIr2
_chemical_formula_sum 'Li3 Ca3 Ir6'
_symmetry_space_group_name_H-M 'R -3 m'
_symmetry_Int_Tables_number 166
_symmetry_space_group_name_Hall '-R 3 2"'
_cell_length_a 2.8872
_cell_length_b 2.8872
_cell_length_c 26.7301
_cell_angle_alpha 90.00
_cell_angle_beta 90.00
_cell_angle_gamma 120.00
loop_
_atom_site_label
_atom_site_type_symbol
_atom_site_fract_x
_atom_site_fract_y
_atom_site_fract_z
_atom_site_occupancy
Li1 Li 0.0000 0.0000 0.0000 1
Ca1 Ca 0.0000 0.0000 0.5000 1
Ir1 Ir 0.0000 0.0000 0.2546 1
```

Calculated values
energy relative to the lowest polymorph listed for this composition = 0.92 eV/f.u.
VASP energy = -63.661 eV per cell
DFT formation energy = 0.1043 eV per atom

=====

(2)
VASP calculation (PBE) on KTbCr2Cl8 after structural relaxation.

```
data_KTbCr2Cl8
_chemical_formula_sum 'K1 Tb1 Cr2 Cl8'
_symmetry_space_group_name_H-M 'P -1'
_symmetry_Int_Tables_number 2
_cell_length_a 6.449
_cell_length_b 6.460
_cell_length_c 8.833
_cell_angle_alpha 78.73
_cell_angle_beta 77.02
_cell_angle_gamma 79.69
loop_
_symmetry_equiv_pos_as_xyz
'x,y,z'
'-x,-y,-z'
loop_
_atom_site_label
_atom_site_type_symbol
_atom_site_fract_x
_atom_site_fract_y
_atom_site_fract_z
_atom_site_occupancy
K1 K 0.000 0.000 0.000 1
Tb1 Tb 0.000 0.000 0.500 1
Cr1 Cr 0.467 0.468 0.216 1
Cl1 Cl 0.220 0.778 0.715 1
Cl2 Cl 0.251 0.303 0.447 1
Cl3 Cl 0.264 0.818 0.267 1
Cl4 Cl 0.308 0.363 0.007 1
```

Calculated values
formation energy without anion corrections = -1.51 eV per atom
VASP energy = -57.837 eV per cell

=====

(3)
VASP calculation (PBE) on La3In after structural relaxation.

```
data_La3In
_chemical_formula_sum 'La3 In1'
_symmetry_space_group_name_H-M 'P -6 m 2'
_symmetry_Int_Tables_number 187
_symmetry_space_group_name_Hall 'P -6 2'
_cell_length_a 3.6930
_cell_length_b 3.6930
_cell_length_c 11.5975
_cell_angle_alpha 90.00
_cell_angle_beta 90.00
_cell_angle_gamma 120.00
loop_
_atom_site_label
_atom_site_type_symbol
_atom_site_fract_x
_atom_site_fract_y
_atom_site_fract_z
_atom_site_occupancy
La1 La 0.0000 0.0000 0.0000 1
La2 La 0.6667 0.3333 0.2674 1
In1 In 0.0000 0.0000 0.5000 1
```

Calculated values
energy relative to the lowest polymorph listed for this composition = 0.73 eV/f.u.
VASP energy = -17.997 eV per cell
DFT formation energy = -0.1189 eV per atom

=====

(4)
VASP calculation (PBE) on NdErIrRh after structural relaxation.

```
data_NdErIrRh
_chemical_formula_sum 'Nd4 Er4 Ir4 Rh4'
_symmetry_space_group_name_H-M 'F -4 3 m'
_symmetry_Int_Tables_number 216
_symmetry_space_group_name_Hall 'F -4 2 3'
_cell_length_a 6.944
_cell_length_b 6.944
_cell_length_c 6.944
_cell_angle_alpha 90.00
_cell_angle_beta 90.00
_cell_angle_gamma 90.00
loop_
_atom_site_label
_atom_site_type_symbol
_atom_site_fract_x
_atom_site_fract_y
_atom_site_fract_z
_atom_site_occupancy
Nd1 Nd 0.000 0.000 0.000 1
Er1 Er 0.000 0.000 0.500 1
Ir1 Ir 0.250 0.250 0.250 1
Rh1 Rh 0.250 0.250 0.750 1
```

Calculated values
VASP energy = -114.207 eV per cell
DFT formation energy = -0.7521 eV per atom